Entry one
Here is crystalline AcLaPCl at its relaxed geometry from the Alexandria database. Energies are from GGA-PBE.

space-group type	R3m (160)

Structure (POSCAR):
```
AcLaPCl
1.0
2.1005 1.2127 7.6605
-2.1005 1.2127 7.6605
0.0000 -2.4254 7.6605
Ac La P Cl
1 1 1 1
Direct
0.0000 0.0000 0.0000
0.8099 0.8099 0.8099
0.4101 0.4101 0.4101
0.2340 0.2340 0.2340
```

=====

Entry two
Here is crystalline AcLaPCl at its relaxed geometry from the Alexandria database. Energies are from GGA-PBE.

space-group type	F-43m (216)

Structure (POSCAR):
```
AcLaPCl
1.0
0.0000 3.6966 3.6966
3.6966 0.0000 3.6966
3.6966 3.6966 0.0000
Ac La P Cl
1 1 1 1
Direct
0.0000 0.0000 0.0000
0.5000 0.5000 0.5000
0.2500 0.2500 0.2500
0.7500 0.7500 0.7500
```

=====

Stability, highest: entry one

=====

Entry one
Here is crystalline LiAcCl4 at its relaxed geometry from the Alexandria database. Energies are from GGA-PBE.

space-group type	Cm (8)

Structure (POSCAR):
```
LiAcCl4
1.0
3.5565 -3.4707 0.0000
3.5565 3.4707 0.0000
-1.7277 0.0000 6.6714
Li Ac Cl
1 1 4
Direct
0.0000 0.0000 0.0000
0.5026 0.5026 0.4982
0.0651 0.5765 0.7544
0.4288 0.9398 0.2415
0.5765 0.0651 0.7544
0.9398 0.4288 0.2415
```

=====

Entry two
Here is crystalline LiAcCl4 at its relaxed geometry from the Alexandria database. Energies are from GGA-PBE.

space-group type	P2/m (10)

Structure (POSCAR):
```
LiAcCl4
1.0
4.9456 0.0000 0.0000
0.0000 4.9737 0.0000
-1.5011 0.0000 6.6898
Li Ac Cl
1 1 4
Direct
0.0000 0.0000 0.0000
0.5000 0.5000 0.5000
0.0786 0.5000 0.7579
0.4190 0.0000 0.2460
0.5810 0.0000 0.7540
0.9214 0.5000 0.2421
```

=====

Stability, highest: entry one